[1]
Material: MgBeAl
Method: DFT, GGA-PBEsol
State: optimized geometry

Geometry as extended XYZ:
```
3
Lattice="-0.872 0.669 -2.936 -1.695 -3.802 -0.363 -2.303 3.189 1.411" Properties=species:S:1:pos:R:3 pbc="T T T"
Be -2.101 0.858 0.820
Mg -2.334 -1.137 -1.240
Al 0.000 0.000 0.000
```

M_tot = 0.00 μB/cell
Formation energy = 0.2150 eV per atom
N(E_F) = 0.89 states/eV/f.u.
Space-group type = No. 187
Volume = 15.81 Å³/atom

=====

[2]
Material: Mg2BeAl
Method: DFT, GGA-PBEsol
State: optimized geometry

Geometry as extended XYZ:
```
4
Lattice="-2.301 1.458 -1.022 -3.035 -2.895 2.703 1.348 3.997 2.666" Properties=species:S:1:pos:R:3 pbc="T T T"
Al -1.151 0.729 -0.511
Mg 0.674 1.998 1.333
Mg -1.517 -1.448 1.352
Be -1.994 1.280 2.174
```

M_tot = 0.00 μB/cell
Formation energy = 0.2572 eV per atom
N(E_F) = 1.34 states/eV/f.u.
Space-group type = No. 65
Volume = 17.04 Å³/atom
Energy above the lowest structure with this stoichiometry = 0.029 eV/atom

=====

[3]
Material: MgBeAl2
Method: DFT, GGA-PBEsol
State: optimized geometry

Geometry as extended XYZ:
```
4
Lattice="-2.235 -2.800 -1.619 2.961 -2.563 0.345 -1.335 -1.049 3.658" Properties=species:S:1:pos:R:3 pbc="T T T"
Be -0.305 -3.206 1.192
Al 1.480 -1.282 0.173
Al -1.118 -1.400 -0.810
Mg -0.668 -0.525 1.829
```

M_tot = 0.00 μB/cell
Formation energy = 0.2022 eV per atom
N(E_F) = 1.19 states/eV/f.u.
Space-group type = No. 123
Volume = 15.58 Å³/atom
Energy above the lowest structure with this stoichiometry = 0.000 eV/atom

=====

[4]
Material: MgBeAl2
Method: DFT, GGA-PBEsol
State: optimized geometry

Geometry as extended XYZ:
```
4
Lattice="-3.270 -0.330 -3.013 0.969 -0.958 -4.246 -1.081 -3.982 -1.690" Properties=species:S:1:pos:R:3 pbc="T T T"
Be -1.691 -2.635 -4.475
Al -2.536 -3.952 -6.712
Mg -0.845 -1.317 -2.237
Al 0.000 0.000 0.000
```

M_tot = 0.00 μB/cell
Formation energy = 0.2917 eV per atom
N(E_F) = 1.55 states/eV/f.u.
Space-group type = No. 216
Volume = 15.67 Å³/atom
Energy above the lowest structure with this stoichiometry = 0.090 eV/atom

=====

[5]
Material: Mg2BeAl
Method: DFT, GGA-PBEsol
State: optimized geometry

Geometry as extended XYZ:
```
4
Lattice="-1.231 2.505 0.778 -3.279 -0.473 -3.663 -1.206 -3.455 3.819" Properties=species:S:1:pos:R:3 pbc="T T T"
Be -3.401 -1.376 -0.950
Al -2.349 0.866 -1.108
Mg -2.512 -0.046 1.568
Mg -5.425 -1.276 0.917
```

M_tot = 0.00 μB/cell
Formation energy = 0.2286 eV per atom
N(E_F) = 1.60 states/eV/f.u.
Space-group type = No. 8
Volume = 17.15 Å³/atom
Energy above the lowest structure with this stoichiometry = 0.000 eV/atom

=====

[6]
Material: MgBeAl2
Method: DFT, GGA-PBEsol
State: optimized geometry

Geometry as extended XYZ:
```
4
Lattice="-2.679 0.249 0.941 -1.229 -1.951 -2.981 0.600 -5.022 3.039" Properties=species:S:1:pos:R:3 pbc="T T T"
Be 0.276 -2.312 1.399
Mg -1.511 -4.558 1.224
Al 0.017 -0.140 0.085
Al -1.790 -2.223 -0.189
```

M_tot = 0.00 μB/cell
Formation energy = 0.2019 eV per atom
N(E_F) = 1.40 states/eV/f.u.
Space-group type = No. 25
Volume = 15.84 Å³/atom
Energy above the lowest structure with this stoichiometry = 0.000 eV/atom